Density functional theory data (PBE with a Hubbard U) for CaNp2VO8 after structural relaxation.

Cell: 4.8650 4.8643 6.9368 Å, 89.99 90.01 88.19°
With the nearest neighbours (Å) after each atom.
Positions (direct):
Np: 0.5000 0.5000 0.2448  6 O 2.00-2.22
Np: 0.5000 0.5000 0.7552  6 O 2.00-2.22
O: 0.3222 0.3221 0.5000  2 Np 2.16, 1 Ca 2.25
O: 0.7953 0.2048 0.2251  1 Np 2.00, 1 V 2.09
O: 0.2047 0.7953 0.2252  1 Np 2.00, 1 V 2.09
O: 0.7953 0.2047 0.7748  1 Np 2.00, 1 V 2.09
O: 0.2047 0.7952 0.7749  1 Np 2.00, 1 V 2.09
O: 0.2953 0.2952 0.0000  1 V 2.06, 2 Np 2.22
O: 0.6778 0.6779 0.5000  2 Np 2.16, 1 Ca 2.25
O: 0.7047 0.7048 0.0000  1 V 2.06, 2 Np 2.22
V: 0.0000 0.0000 0.0000  6 O 2.06-2.09
Ca: 0.0000 0.0000 0.5000  6 O 2.25-2.36

Summary:
The calculation puts the mass density at 7.01 g cm⁻³. As for the calculated volume: 164 Å³ per cell. The calculation puts the total DFT energy (no corrections) at -107.97 eV for the cell shown.